VASP calculation (PBE+U) on NaMo3O after structural relaxation.

The raw total energy is -22.03 eV/cell.

It has space group Pm-3m (No. 221), with a = 4.2335 Å, b = 4.2335 Å, c = 4.2335 Å, α = 90.00°, β = 90.00° and γ = 90.00°. The distinct sites, in fractional coordinates, are Na at (0.0000, 0.0000, 0.0000), Mo at (0.0000, 0.5000, 0.5000) and O at (0.5000, 0.5000, 0.5000).